## LiDyP4O12 (meta-GGA SCAN)

Data for LiDyP4O12 at its PBEsol-relaxed geometry.

a = 8.834 Å, b = 8.834 Å, c = 9.557 Å
α = 122.68°, β = 122.68°, γ = 46.76°
Sites, in units of the cell vectors:
Li 0.207 0.793 0.750
Li 0.793 0.207 0.250
Dy 0.293 0.707 0.250
Dy 0.707 0.293 0.750
P 0.086 0.187 0.615
P 0.187 0.086 0.115
P 0.208 0.501 0.806
P 0.499 0.792 0.694
P 0.501 0.208 0.306
P 0.792 0.499 0.194
P 0.813 0.914 0.885
P 0.914 0.813 0.385
O 0.027 0.284 0.235
O 0.063 0.065 0.426
O 0.065 0.063 0.926
O 0.103 0.671 0.316
O 0.171 0.319 0.649
O 0.258 0.488 0.977
O 0.284 0.027 0.735
O 0.319 0.171 0.149
O 0.329 0.897 0.184
O 0.352 0.510 0.778
O 0.488 0.258 0.477
O 0.490 0.648 0.722
O 0.510 0.352 0.278
O 0.512 0.742 0.523
O 0.648 0.490 0.222
O 0.671 0.103 0.816
O 0.681 0.829 0.851
O 0.716 0.973 0.265
O 0.742 0.512 0.023
O 0.829 0.681 0.351
O 0.897 0.329 0.684
O 0.935 0.937 0.074
O 0.937 0.935 0.574
O 0.973 0.716 0.765

Results
Energy relative to the elements, uncorrected in eV/atom: -2.7375
N(E_F) in states/eV/cell: 0.000
Space-group type: C2/c, No. 15

---

## Ba2SrUO6 (meta-GGA SCAN)

Data for Ba2SrUO6 at its PBEsol-relaxed geometry.

a = 6.223 Å, b = 6.280 Å, c = 10.755 Å
α = 90.00°, β = 125.10°, γ = 90.00°
Sites, in units of the cell vectors:
Ba 0.241 0.036 0.251
Ba 0.241 0.464 0.751
Ba 0.759 0.536 0.249
Ba 0.759 0.964 0.749
Sr 0.500 0.000 0.000
Sr 0.500 0.500 0.500
U 0.000 0.000 0.500
U 0.000 0.500 0.000
O 0.136 0.235 0.946
O 0.136 0.265 0.446
O 0.222 0.692 0.957
O 0.222 0.808 0.457
O 0.316 0.031 0.727
O 0.316 0.469 0.227
O 0.684 0.531 0.773
O 0.684 0.969 0.273
O 0.778 0.192 0.543
O 0.778 0.308 0.043
O 0.864 0.735 0.554
O 0.864 0.765 0.054

Results
Energy relative to the elements, uncorrected in eV/atom: -3.3430
N(E_F) in states/eV/cell: 0.000
Space-group type: P2_1/c, No. 14

---

## SrCa2 (meta-GGA SCAN)

Data for SrCa2 at its PBEsol-relaxed geometry.

a = 7.312 Å, b = 7.312 Å, c = 7.312 Å
α = 60.00°, β = 60.00°, γ = 60.00°
Sites, in units of the cell vectors:
Sr 0.125 0.125 0.125
Sr 0.875 0.875 0.875
Ca 0.000 0.500 0.500
Ca 0.500 0.000 0.500
Ca 0.500 0.500 0.000
Ca 0.500 0.500 0.500

Results
N(E_F) in states/eV/cell: 6.722
Space-group type: Fd-3m, No. 227
Offset from the most stable computed form in eV/atom: 0.034
Formation enthalpy at 0 K in eV/atom: 0.048

---

## CdSb2Pt2 (meta-GGA SCAN)

Data for CdSb2Pt2 at its PBEsol-relaxed geometry.

a = 7.954 Å, b = 7.954 Å, c = 7.954 Å
α = 151.87°, β = 151.87°, γ = 40.21°
Sites, in units of the cell vectors:
Cd 0.000 0.000 0.000
Sb 0.376 0.376 0.000
Sb 0.624 0.624 0.000
Pt 0.250 0.750 0.500
Pt 0.750 0.250 0.500

Results
Energy relative to the elements, uncorrected in eV/atom: -0.1788
N(E_F) in states/eV/cell: 2.108
Space-group type: I4/mmm, No. 139

---

## Ta3BiOs (meta-GGA SCAN)

Data for Ta3BiOs at its PBEsol-relaxed geometry.

a = 4.939 Å, b = 4.939 Å, c = 4.939 Å
α = 90.00°, β = 90.00°, γ = 90.00°
Sites, in units of the cell vectors:
Ta 0.000 0.000 0.500
Ta 0.000 0.500 0.000
Ta 0.500 0.000 0.000
Bi 0.000 0.000 0.000
Os 0.500 0.500 0.500

Results
N(E_F) in states/eV/cell: 5.021
Space-group type: Pm-3m, No. 221
Formation enthalpy at 0 K in eV/atom: 3.026

---

## PaGaCu2 (meta-GGA SCAN)

Data for PaGaCu2 at its PBEsol-relaxed geometry.

a = 4.527 Å, b = 4.527 Å, c = 4.527 Å
α = 60.00°, β = 60.00°, γ = 60.00°
Sites, in units of the cell vectors:
Pa 0.000 0.000 0.000
Ga 0.500 0.500 0.500
Cu 0.250 0.250 0.250
Cu 0.750 0.750 0.750

Results
N(E_F) in states/eV/cell: 2.136
Space-group type: Fm-3m, No. 225
Formation enthalpy at 0 K in eV/atom: -0.111